## SrLi2Gd (GGA-PBE)

Data for SrLi2Gd after structural relaxation.

Computed properties:
As for the formation energy: 0.122 eV/atom. The total energy is -4.7761 eV/atom.

a b c (Å): 3.9256 3.9256 8.1193
angles (deg): 90.00 90.00 90.00
Space group P4/mmm (No. 123)
Inequivalent atoms, fractional coordinates:
1 Sr 0.0000 0.0000 0.0000 (multiplicity 1)
2 Li 0.5000 0.5000 0.2816 (multiplicity 2)
3 Gd 0.0000 0.0000 0.5000 (multiplicity 1)

## AcHg4Pb (GGA-PBE)

Data for AcHg4Pb after structural relaxation.

Computed properties:
As for the formation energy: -0.282 eV/atom. The total energy is -1.7856 eV/atom.

a b c (Å): 5.0316 5.0039 7.1582
angles (deg): 90.00 110.50 90.00
Space group P2/m (No. 10)
Inequivalent atoms, fractional coordinates:
1 Ac 0.0000 0.0000 0.0000 (multiplicity 1)
2 Hg 0.1757 0.5000 0.3511 (multiplicity 2)
3 Hg 0.3224 0.0000 0.6460 (multiplicity 2)
4 Pb 0.5000 0.5000 0.0000 (multiplicity 1)

## MgZnCo (GGA-PBE)

Data for MgZnCo after structural relaxation.

Computed properties:
As for the formation energy: 0.106 eV/atom. The total energy is -3.2183 eV/atom.

a b c (Å): 5.0821 11.0517 6.8916
angles (deg): 90.00 90.00 90.00
Space group Cmce (No. 64)
Inequivalent atoms, fractional coordinates:
1 Mg 0.0000 0.1873 0.0922 (multiplicity 8)
2 Zn 0.2500 0.0681 0.7500 (multiplicity 8)
3 Co 0.0000 0.0921 0.4369 (multiplicity 8)